Pu2TaNiN5 after structural relaxation. Source: Alexandria, functional PBE.

Cell: 3.2310 6.5788 10.1385 Å, 90.00 90.00 104.22°
With the nearest neighbours (Å) after each atom.
Fractional positions:
1 N 0.5127 0.0255 0.2738  1 Ni 1.91
2 N 0.6783 0.3567 0.8747  2 Ta 2.14, 1 Ni 2.17
3 N 0.4873 0.9745 0.7738  1 Ni 1.91
4 N 0.0502 0.1005 0.0723  1 Ta 2.00, 2 Ni 2.03, 1 Pu 2.24
5 N 0.2817 0.5634 0.6545  2 Ta 2.19, 3 Pu 2.29-2.44
6 N 0.3660 0.7319 0.9958  1 Ni 2.02, 1 Ta 2.13
7 N 0.6340 0.2681 0.4958  1 Ni 2.02, 1 Ta 2.13
8 N 0.9498 0.8995 0.5723  1 Ta 2.00, 2 Ni 2.03, 1 Pu 2.24
9 N 0.3217 0.6433 0.3747  2 Ta 2.14, 1 Ni 2.17
10 N 0.7183 0.4366 0.1545  2 Ta 2.19, 3 Pu 2.29-2.44
11 Pu 0.1407 0.2815 0.3055  7 N 2.32-2.52
12 Pu 0.1030 0.2061 0.6793  6 N 2.24-2.50
13 Pu 0.8970 0.7939 0.1793  6 N 2.24-2.50
14 Pu 0.8593 0.7185 0.8055  7 N 2.32-2.52
15 Ni 0.4791 0.9582 0.4570  4 N 1.91-2.03
16 Ni 0.5209 0.0418 0.9570  4 N 1.91-2.03
17 Ta 0.8005 0.6011 0.5109  6 N 2.00-2.19
18 Ta 0.1995 0.3989 0.0109  6 N 2.00-2.19

Values from the calculation:
Its volume is 11.61 A^3/atom. The calculation puts the uncorrected formation energy at -0.822 eV/atom. The calculation puts the uncorrected energy at -10.592 eV/atom. The calculation puts the density at 12.681 g/cm3.